(1)
YTe2PbO8 | PBE-GGA | optimized geometry

Lattice parameters (Å, degrees): 6.073 6.073 7.264 90.00 90.00 120.00
Sites, in units of the cell vectors:
Y 0.000 0.000 0.500
Te 0.667 0.333 0.219
Te 0.333 0.667 0.781
Pb 0.000 0.000 0.000
O 0.333 0.667 0.033
O 0.318 0.159 0.290
O 0.841 0.159 0.290
O 0.667 0.333 0.967
O 0.159 0.841 0.710
O 0.682 0.841 0.710
O 0.159 0.318 0.710
O 0.841 0.682 0.290

(2)
YTePb2O6 | PBE-GGA | optimized geometry

Lattice parameters (Å, degrees): 5.942 6.042 8.493 90.00 89.94 90.00
Sites, in units of the cell vectors:
Y 0.500 0.000 0.000
Y 0.000 0.500 0.500
Te 0.500 0.000 0.500
Te 0.000 0.500 0.000
Pb 0.006 0.969 0.249
Pb 0.506 0.531 0.749
Pb 0.994 0.031 0.751
Pb 0.494 0.469 0.251
O 0.283 0.696 0.042
O 0.783 0.804 0.542
O 0.717 0.304 0.958
O 0.217 0.196 0.458
O 0.308 0.717 0.457
O 0.808 0.783 0.957
O 0.692 0.283 0.543
O 0.192 0.217 0.043
O 0.916 0.522 0.239
O 0.416 0.978 0.739
O 0.084 0.478 0.761
O 0.584 0.022 0.261

(3)
ZnTePbO5 | PBE-GGA | optimized geometry

Lattice parameters (Å, degrees): 5.882 5.882 8.442 110.87 110.87 90.13
Sites, in units of the cell vectors:
Zn 0.298 0.702 0.250
Zn 0.702 0.298 0.750
Te 0.668 0.332 0.250
Te 0.332 0.668 0.750
Pb 0.000 0.000 0.500
Pb 0.000 0.000 0.000
O 0.060 0.940 0.250
O 0.940 0.060 0.750
O 0.731 0.255 0.000
O 0.269 0.745 0.000
O 0.745 0.269 0.500
O 0.255 0.731 0.500
O 0.675 0.682 0.339
O 0.325 0.318 0.661
O 0.318 0.325 0.161
O 0.682 0.675 0.839

(4)
Zn2TePbO8 | PBE-GGA | optimized geometry

Lattice parameters (Å, degrees): 5.823 5.823 5.823 110.94 110.94 106.57
Sites, in units of the cell vectors:
Zn 0.750 0.250 0.500
Zn 0.500 0.500 0.000
Te 0.000 0.000 0.000
Pb 0.250 0.750 0.500
O 0.346 0.051 0.294
O 0.280 0.454 0.174
O 0.280 0.106 0.826
O 0.757 0.051 0.706
O 0.894 0.720 0.174
O 0.949 0.243 0.294
O 0.949 0.654 0.706
O 0.546 0.720 0.826

(5)
Zn2TePbO6 | PBE-GGA | optimized geometry

Lattice parameters (Å, degrees): 6.648 6.710 6.710 94.43 85.87 85.87
Sites, in units of the cell vectors:
Zn 0.389 0.741 0.590
Zn 0.111 0.410 0.259
Zn 0.611 0.259 0.410
Zn 0.889 0.590 0.741
Te 0.250 0.277 0.723
Te 0.750 0.723 0.277
Pb 0.250 0.899 0.101
Pb 0.750 0.101 0.899
O 0.257 0.988 0.727
O 0.243 0.273 0.012
O 0.743 0.012 0.273
O 0.757 0.727 0.988
O 0.457 0.706 0.295
O 0.043 0.705 0.294
O 0.543 0.294 0.705
O 0.957 0.295 0.706
O 0.207 0.576 0.741
O 0.293 0.259 0.424
O 0.793 0.424 0.259
O 0.707 0.741 0.576

(6)
ZnTe2PbO8 | PBE-GGA | optimized geometry

Lattice parameters (Å, degrees): 5.639 5.639 7.218 90.00 90.00 120.00
Sites, in units of the cell vectors:
Zn 0.000 0.000 0.500
Te 0.667 0.333 0.241
Te 0.333 0.667 0.759
Pb 0.000 0.000 0.000
O 0.333 0.667 0.013
O 0.312 0.233 0.311
O 0.767 0.079 0.311
O 0.667 0.333 0.987
O 0.233 0.921 0.689
O 0.688 0.767 0.689
O 0.079 0.312 0.689
O 0.921 0.688 0.311

(7)
ZnTePbO6 | PBE-GGA | optimized geometry

Lattice parameters (Å, degrees): 5.291 5.291 9.315 90.00 90.00 120.00
Sites, in units of the cell vectors:
Zn 0.667 0.333 0.250
Zn 0.333 0.667 0.750
Te 0.333 0.667 0.250
Te 0.667 0.333 0.750
Pb 0.000 0.000 0.000
Pb 0.000 0.000 0.500
O 0.635 0.654 0.133
O 0.019 0.365 0.133
O 0.365 0.019 0.633
O 0.981 0.635 0.867
O 0.346 0.365 0.367
O 0.019 0.654 0.367
O 0.654 0.019 0.867
O 0.635 0.981 0.367
O 0.981 0.346 0.633
O 0.346 0.981 0.133
O 0.654 0.635 0.633
O 0.365 0.346 0.867

(8)
ZnTe2PbO6 | PBE-GGA | optimized geometry

Lattice parameters (Å, degrees): 8.069 7.928 7.928 107.70 69.88 69.88
Sites, in units of the cell vectors:
Zn 0.250 0.215 0.785
Zn 0.750 0.785 0.215
Te 0.334 0.735 0.549
Te 0.166 0.451 0.265
Te 0.666 0.265 0.451
Te 0.834 0.549 0.735
Pb 0.250 0.946 0.054
Pb 0.750 0.054 0.946
O 0.160 0.004 0.808
O 0.340 0.192 0.996
O 0.840 0.996 0.192
O 0.660 0.808 0.004
O 0.511 0.815 0.426
O 0.989 0.574 0.185
O 0.489 0.185 0.574
O 0.011 0.426 0.815
O 0.951 0.691 0.624
O 0.549 0.376 0.309
O 0.049 0.309 0.376
O 0.451 0.624 0.691

(9)
Th2PbO | PBE-GGA | optimized geometry

Lattice parameters (Å, degrees): 3.637 3.637 8.647 77.86 77.86 60.00
Sites, in units of the cell vectors:
Pb 0.500 0.500 0.500
O 0.000 0.000 0.000
Th 0.275 0.275 0.174
Th 0.725 0.725 0.826

(10)
ThPbO | PBE-GGA | optimized geometry

Lattice parameters (Å, degrees): 5.662 3.925 3.925 120.00 90.00 90.00
Sites, in units of the cell vectors:
Pb 0.667 0.667 0.333
O 0.167 0.333 0.667
Th 0.167 0.000 0.000

## Properties
ΔE to the lowest computed polymorph = 0.0 meV per atom

(11)
ThPbO | PBE-GGA | optimized geometry

Lattice parameters (Å, degrees): 3.537 8.967 15.822 90.00 90.00 90.00
Sites, in units of the cell vectors:
Pb 0.000 0.236 0.911
Pb 0.000 0.764 0.089
Pb 0.000 0.236 0.589
Pb 0.000 0.764 0.411
Pb 0.000 0.965 0.250
Pb 0.000 0.035 0.750
Th 0.500 0.123 0.087
Th 0.500 0.877 0.913
Th 0.500 0.123 0.413
Th 0.500 0.877 0.587
Th 0.000 0.436 0.250
Th 0.000 0.564 0.750
O 0.500 0.317 0.159
O 0.500 0.683 0.841
O 0.500 0.317 0.341
O 0.500 0.683 0.659
O 0.500 0.577 0.250
O 0.500 0.423 0.750

## Properties
ΔE to the lowest computed polymorph = 271.4 meV per atom

(12)
ThPbO | PBE-GGA | optimized geometry

Lattice parameters (Å, degrees): 3.387 3.387 6.840 104.34 104.34 90.00
Sites, in units of the cell vectors:
Pb 0.006 0.006 0.012
Th 0.732 0.732 0.463
O 0.262 0.262 0.525

## Properties
ΔE to the lowest computed polymorph = 239.4 meV per atom

Here are the calculated E_form (uncorrected) numbers, same order: -1.374; -1.633; -0.932; -0.646; -1.171; -0.909; -1.006; -1.101; -1.353; -1.876; -1.605; -1.637 (eV per atom).
Here are the calculated E_tot numbers, same order: -6.05; -6.31; -5.05; -4.73; -5.09; -5.15; -5.21; -5.20; -7.23; -7.24; -6.97; -7.00 (eV/atom).